# NpScZnO6, relaxed, DFT PBE
# Formation energy without anion corrections: -2.4725 eV per atom
# Space group: P-31c, No. 163
data_NpScZnO6
_chemical_formula_sum 'Np2 Sc2 Zn2 O12'
_cell_length_a 5.274
_cell_length_b 5.274
_cell_length_c 9.387
_cell_angle_alpha 90.00
_cell_angle_beta 90.00
_cell_angle_gamma 120.00
_space_group_name_H-M_alt 'P 1'
_space_group_IT_number 1
_space_group_name_Hall 'P 1'
loop_
_atom_site_label
_atom_site_type_symbol
_atom_site_fract_x
_atom_site_fract_y
_atom_site_fract_z
_atom_site_occupancy
O1 O 0.657 0.672 0.631 1
O2 O 0.015 0.672 0.869 1
O3 O 0.985 0.657 0.369 1
O4 O 0.328 0.985 0.631 1
O5 O 0.985 0.328 0.131 1
O6 O 0.343 0.328 0.369 1
O7 O 0.657 0.985 0.869 1
O8 O 0.328 0.343 0.869 1
O9 O 0.343 0.015 0.131 1
O10 O 0.015 0.343 0.631 1
O11 O 0.672 0.015 0.369 1
O12 O 0.672 0.657 0.131 1
Zn1 Zn 0.667 0.333 0.750 1
Zn2 Zn 0.333 0.667 0.250 1
Sc1 Sc 0.000 0.000 0.500 1
Sc2 Sc 0.000 0.000 0.000 1
Np1 Np 0.333 0.667 0.750 1
Np2 Np 0.667 0.333 0.250 1

=====

# Er3AlC3, relaxed, DFT PBE
# Space group: Cmcm, No. 63
# E_form: -0.273 eV/atom
data_Er3AlC3
_chemical_formula_sum 'Er6 Al2 C6'
_cell_length_a 5.045
_cell_length_b 6.802
_cell_length_c 6.803
_cell_angle_alpha 99.27
_cell_angle_beta 90.00
_cell_angle_gamma 90.00
_space_group_name_H-M_alt 'P 1'
_space_group_IT_number 1
_space_group_name_Hall 'P 1'
loop_
_atom_site_label
_atom_site_type_symbol
_atom_site_fract_x
_atom_site_fract_y
_atom_site_fract_z
_atom_site_occupancy
C1 C 0.750 0.884 0.116 1
C2 C 0.250 0.159 0.409 1
C3 C 0.250 0.116 0.884 1
C4 C 0.250 0.591 0.841 1
C5 C 0.750 0.409 0.159 1
C6 C 0.750 0.841 0.591 1
Er1 Er 0.750 0.108 0.892 1
Er2 Er 0.750 0.145 0.389 1
Er3 Er 0.250 0.855 0.611 1
Er4 Er 0.250 0.892 0.108 1
Er5 Er 0.750 0.611 0.855 1
Er6 Er 0.250 0.389 0.145 1
Al1 Al 0.750 0.687 0.313 1
Al2 Al 0.250 0.313 0.687 1

=====

# LiThGa2Pt5, relaxed, DFT PBE
# Space group: P4/mmm, No. 123
# E_form: -0.808 eV/atom
data_LiThGa2Pt5
_chemical_formula_sum 'Li1 Th1 Ga2 Pt5'
_cell_length_a 4.158
_cell_length_b 4.158
_cell_length_c 9.658
_cell_angle_alpha 90.00
_cell_angle_beta 90.00
_cell_angle_gamma 90.00
_space_group_name_H-M_alt 'P 1'
_space_group_IT_number 1
_space_group_name_Hall 'P 1'
loop_
_atom_site_label
_atom_site_type_symbol
_atom_site_fract_x
_atom_site_fract_y
_atom_site_fract_z
_atom_site_occupancy
Ga1 Ga 0.500 0.500 0.873 1
Ga2 Ga 0.500 0.500 0.127 1
Pt1 Pt 0.500 0.500 0.500 1
Pt2 Pt 0.500 0.000 0.725 1
Pt3 Pt 0.000 0.500 0.725 1
Pt4 Pt 0.000 0.500 0.275 1
Pt5 Pt 0.500 0.000 0.275 1
Li1 Li 0.000 0.000 0.000 1
Th1 Th 0.000 0.000 0.500 1

=====

# VPd2Rh, relaxed, DFT PBE
# Space group: P4/mmm, No. 123
# Energy above the most stable polymorph in this dataset: 17 meV per atom
# E_form: -0.236 eV/atom
data_VPd2Rh
_chemical_formula_sum 'V1 Pd2 Rh1'
_cell_length_a 3.958
_cell_length_b 3.819
_cell_length_c 3.819
_cell_angle_alpha 90.00
_cell_angle_beta 90.00
_cell_angle_gamma 90.00
_space_group_name_H-M_alt 'P 1'
_space_group_IT_number 1
_space_group_name_Hall 'P 1'
loop_
_atom_site_label
_atom_site_type_symbol
_atom_site_fract_x
_atom_site_fract_y
_atom_site_fract_z
_atom_site_occupancy
Pd1 Pd 0.000 0.000 0.500 1
Pd2 Pd 0.000 0.500 0.000 1
Rh1 Rh 0.500 0.000 0.000 1
V1 V 0.500 0.500 0.500 1

=====

# Pm2NiSn4Pd3, relaxed, DFT PBE
# Space group: P-4m2, No. 115
# E_form: -0.685 eV/atom
data_Pm2NiSn4Pd3
_chemical_formula_sum 'Pm2 Ni1 Sn4 Pd3'
_cell_length_a 4.512
_cell_length_b 4.512
_cell_length_c 10.853
_cell_angle_alpha 90.00
_cell_angle_beta 90.00
_cell_angle_gamma 90.00
_space_group_name_H-M_alt 'P 1'
_space_group_IT_number 1
_space_group_name_Hall 'P 1'
loop_
_atom_site_label
_atom_site_type_symbol
_atom_site_fract_x
_atom_site_fract_y
_atom_site_fract_z
_atom_site_occupancy
Ni1 Ni 0.500 0.500 0.500 1
Sn1 Sn 0.500 0.000 0.623 1
Sn2 Sn 0.000 0.000 0.000 1
Sn3 Sn 0.000 0.500 0.377 1
Sn4 Sn 0.500 0.500 0.000 1
Pd1 Pd 0.000 0.000 0.500 1
Pd2 Pd 0.500 0.000 0.863 1
Pd3 Pd 0.000 0.500 0.137 1
Pm1 Pm 0.000 0.500 0.733 1
Pm2 Pm 0.500 0.000 0.267 1

=====

# PdSI, relaxed, DFT PBE
# Formation energy without anion corrections: -0.2162 eV per atom
# Space group: P-1, No. 2
data_PdSI
_chemical_formula_sum 'Pd2 S2 I2'
_cell_length_a 4.139
_cell_length_b 8.188
_cell_length_c 7.054
_cell_angle_alpha 58.09
_cell_angle_beta 77.36
_cell_angle_gamma 95.45
_space_group_name_H-M_alt 'P 1'
_space_group_IT_number 1
_space_group_name_Hall 'P 1'
loop_
_atom_site_label
_atom_site_type_symbol
_atom_site_fract_x
_atom_site_fract_y
_atom_site_fract_z
_atom_site_occupancy
I1 I 0.709 0.189 0.622 1
I2 I 0.291 0.811 0.378 1
S1 S 0.180 0.422 0.996 1
S2 S 0.820 0.578 0.004 1
Pd1 Pd 0.352 0.341 0.317 1
Pd2 Pd 0.648 0.659 0.683 1

=====

# RbZr2Pt, relaxed, DFT PBE
# Space group: I-42d, No. 122
# Energy above the most stable polymorph in this dataset: 213 meV per atom
# E_form: 0.680 eV/atom
data_RbZr2Pt
_chemical_formula_sum 'Rb2 Zr4 Pt2'
_cell_length_a 5.673
_cell_length_b 5.673
_cell_length_c 9.947
_cell_angle_alpha 73.43
_cell_angle_beta 73.43
_cell_angle_gamma 90.00
_space_group_name_H-M_alt 'P 1'
_space_group_IT_number 1
_space_group_name_Hall 'P 1'
loop_
_atom_site_label
_atom_site_type_symbol
_atom_site_fract_x
_atom_site_fract_y
_atom_site_fract_z
_atom_site_occupancy
Zr1 Zr 0.375 0.121 0.750 1
Zr2 Zr 0.875 0.129 0.750 1
Zr3 Zr 0.879 0.125 0.250 1
Zr4 Zr 0.871 0.625 0.250 1
Pt1 Pt 0.750 0.250 0.500 1
Pt2 Pt 0.000 0.000 0.000 1
Rb1 Rb 0.500 0.500 0.000 1
Rb2 Rb 0.250 0.750 0.500 1

=====

# K4Bi, relaxed, DFT PBE
# Space group: Pm-3m, No. 221
# Energy above the most stable polymorph in this dataset: 71 meV per atom
# E_form: -0.152 eV/atom
data_K4Bi
_chemical_formula_sum 'K4 Bi1'
_cell_length_a 6.947
_cell_length_b 6.947
_cell_length_c 6.947
_cell_angle_alpha 90.00
_cell_angle_beta 90.00
_cell_angle_gamma 90.00
_space_group_name_H-M_alt 'P 1'
_space_group_IT_number 1
_space_group_name_Hall 'P 1'
loop_
_atom_site_label
_atom_site_type_symbol
_atom_site_fract_x
_atom_site_fract_y
_atom_site_fract_z
_atom_site_occupancy
K1 K 0.000 0.500 0.500 1
K2 K 0.000 0.000 0.000 1
K3 K 0.500 0.500 0.000 1
K4 K 0.500 0.000 0.500 1
Bi1 Bi 0.500 0.500 0.500 1

=====

# Co2CuSn2, relaxed, DFT PBE
# Space group: P4/mbm, No. 127
# Energy above the most stable polymorph in this dataset: 0 meV per atom
# E_form: 0.085 eV/atom
data_Co2CuSn2
_chemical_formula_sum 'Co4 Cu2 Sn4'
_cell_length_a 6.782
_cell_length_b 6.782
_cell_length_c 3.372
_cell_angle_alpha 90.00
_cell_angle_beta 90.00
_cell_angle_gamma 90.00
_space_group_name_H-M_alt 'P 1'
_space_group_IT_number 1
_space_group_name_Hall 'P 1'
loop_
_atom_site_label
_atom_site_type_symbol
_atom_site_fract_x
_atom_site_fract_y
_atom_site_fract_z
_atom_site_occupancy
Cu1 Cu 0.500 0.500 0.000 1
Cu2 Cu 0.000 0.000 0.000 1
Co1 Co 0.635 0.135 0.000 1
Co2 Co 0.135 0.365 0.000 1
Co3 Co 0.865 0.635 0.000 1
Co4 Co 0.365 0.865 0.000 1
Sn1 Sn 0.835 0.335 0.500 1
Sn2 Sn 0.665 0.835 0.500 1
Sn3 Sn 0.165 0.665 0.500 1
Sn4 Sn 0.335 0.165 0.500 1

=====

# Nd3Cd2Pd4, relaxed, DFT PBE
# Space group: C2/m, No. 12
# E_form: -0.660 eV/atom
data_Nd3Cd2Pd4
_chemical_formula_sum 'Nd3 Cd2 Pd4'
_cell_length_a 4.508
_cell_length_b 5.527
_cell_length_c 9.189
_cell_angle_alpha 92.78
_cell_angle_beta 90.00
_cell_angle_gamma 114.07
_space_group_name_H-M_alt 'P 1'
_space_group_IT_number 1
_space_group_name_Hall 'P 1'
loop_
_atom_site_label
_atom_site_type_symbol
_atom_site_fract_x
_atom_site_fract_y
_atom_site_fract_z
_atom_site_occupancy
Pd1 Pd 0.710 0.419 0.085 1
Pd2 Pd 0.290 0.581 0.915 1
Pd3 Pd 0.922 0.844 0.373 1
Pd4 Pd 0.078 0.156 0.627 1
Cd1 Cd 0.325 0.651 0.220 1
Cd2 Cd 0.675 0.349 0.780 1
Nd1 Nd 0.371 0.743 0.615 1
Nd2 Nd 0.000 0.000 0.000 1
Nd3 Nd 0.629 0.257 0.385 1

=====

# Cd2SnPd5Au2, relaxed, DFT PBE
# Space group: P4/mbm, No. 127
# E_form: -0.242 eV/atom
data_Cd2SnPd5Au2
_chemical_formula_sum 'Cd4 Sn2 Pd10 Au4'
_cell_length_a 3.468
_cell_length_b 10.318
_cell_length_c 10.318
_cell_angle_alpha 90.00
_cell_angle_beta 90.00
_cell_angle_gamma 90.00
_space_group_name_H-M_alt 'P 1'
_space_group_IT_number 1
_space_group_name_Hall 'P 1'
loop_
_atom_site_label
_atom_site_type_symbol
_atom_site_fract_x
_atom_site_fract_y
_atom_site_fract_z
_atom_site_occupancy
Pd1 Pd 0.500 0.007 0.799 1
Pd2 Pd 0.500 0.201 0.007 1
Pd3 Pd 0.500 0.799 0.993 1
Pd4 Pd 0.500 0.701 0.493 1
Pd5 Pd 0.500 0.299 0.507 1
Pd6 Pd 0.500 0.507 0.701 1
Pd7 Pd 0.500 0.993 0.201 1
Pd8 Pd 0.500 0.500 0.000 1
Pd9 Pd 0.500 0.000 0.500 1
Pd10 Pd 0.500 0.493 0.299 1
Cd1 Cd 0.000 0.658 0.158 1
Cd2 Cd 0.000 0.158 0.342 1
Cd3 Cd 0.000 0.342 0.842 1
Cd4 Cd 0.000 0.842 0.658 1
Sn1 Sn 0.000 0.000 0.000 1
Sn2 Sn 0.000 0.500 0.500 1
Au1 Au 0.000 0.651 0.849 1
Au2 Au 0.000 0.349 0.151 1
Au3 Au 0.000 0.151 0.651 1
Au4 Au 0.000 0.849 0.349 1

=====

| no. | total magnetic moment (μB per cell) |
| --- | --- |
| 1 | 0.0 |
| 2 | 0.5 |
| 3 | 0.0 |
| 4 | 0.4 |
| 5 | 0.0 |
| 6 | 0.0 |
| 7 | 0.0 |
| 8 | 0.4 |
| 9 | 1.4 |
| 10 | 0.0 |
| 11 | 0.0 |